No. 1
{"formula": "Ca3Ni5Cl12", "functional": "PBE", "state": "relaxed", "lattice_angstrom": [[-7.549, 7.549, 7.549], [7.549, -7.549, 7.549], [7.549, 7.549, -7.549]], "species": ["Ca", "Ca", "Ca", "Ca", "Ca", "Ca", "Ca", "Ca", "Ca", "Ca", "Ca", "Ca", "Ni", "Ni", "Ni", "Ni", "Ni", "Ni", "Ni", "Ni", "Ni", "Ni", "Ni", "Ni", "Ni", "Ni", "Ni", "Ni", "Ni", "Ni", "Ni", "Ni", "Cl", "Cl", "Cl", "Cl", "Cl", "Cl", "Cl", "Cl", "Cl", "Cl", "Cl", "Cl", "Cl", "Cl", "Cl", "Cl", "Cl", "Cl", "Cl", "Cl", "Cl", "Cl", "Cl", "Cl", "Cl", "Cl", "Cl", "Cl", "Cl", "Cl", "Cl", "Cl", "Cl", "Cl", "Cl", "Cl", "Cl", "Cl", "Cl", "Cl", "Cl", "Cl", "Cl", "Cl", "Cl", "Cl", "Cl", "Cl"], "fractional_positions": [[0.125, 0.250, 0.375], [0.125, 0.375, 0.750], [0.250, 0.375, 0.125], [0.250, 0.875, 0.625], [0.375, 0.125, 0.250], [0.375, 0.750, 0.125], [0.625, 0.250, 0.875], [0.625, 0.875, 0.750], [0.750, 0.125, 0.375], [0.750, 0.625, 0.875], [0.875, 0.625, 0.250], [0.875, 0.750, 0.625], [0.000, 0.000, 0.000], [0.000, 0.000, 0.500], [0.000, 0.500, 0.000], [0.000, 0.500, 0.500], [0.125, 0.750, 0.875], [0.125, 0.875, 0.250], [0.250, 0.125, 0.875], [0.250, 0.625, 0.375], [0.375, 0.250, 0.625], [0.375, 0.625, 0.750], [0.500, 0.000, 0.000], [0.500, 0.000, 0.500], [0.500, 0.500, 0.000], [0.500, 0.500, 0.500], [0.625, 0.375, 0.250], [0.625, 0.750, 0.375], [0.750, 0.375, 0.625], [0.750, 0.875, 0.125], [0.875, 0.125, 0.750], [0.875, 0.250, 0.125], [0.029, 0.207, 0.121], [0.029, 0.322, 0.908], [0.085, 0.707, 0.678], [0.085, 0.879, 0.408], [0.092, 0.621, 0.415], [0.092, 0.971, 0.678], [0.121, 0.029, 0.207], [0.121, 0.592, 0.915], [0.178, 0.207, 0.585], [0.178, 0.471, 0.592], [0.207, 0.121, 0.029], [0.207, 0.585, 0.178], [0.293, 0.322, 0.915], [0.293, 0.471, 0.379], [0.322, 0.908, 0.029], [0.322, 0.915, 0.293], [0.379, 0.293, 0.471], [0.379, 0.585, 0.908], [0.408, 0.085, 0.879], [0.408, 0.822, 0.529], [0.415, 0.092, 0.621], [0.415, 0.822, 0.793], [0.471, 0.379, 0.293], [0.471, 0.592, 0.178], [0.529, 0.408, 0.822], [0.529, 0.621, 0.707], [0.585, 0.178, 0.207], [0.585, 0.908, 0.379], [0.592, 0.178, 0.471], [0.592, 0.915, 0.121], [0.621, 0.415, 0.092], [0.621, 0.707, 0.529], [0.678, 0.085, 0.707], [0.678, 0.092, 0.971], [0.707, 0.529, 0.621], [0.707, 0.678, 0.085], [0.793, 0.415, 0.822], [0.793, 0.879, 0.971], [0.822, 0.529, 0.408], [0.822, 0.793, 0.415], [0.879, 0.408, 0.085], [0.879, 0.971, 0.793], [0.908, 0.029, 0.322], [0.908, 0.379, 0.585], [0.915, 0.121, 0.592], [0.915, 0.293, 0.322], [0.971, 0.678, 0.092], [0.971, 0.793, 0.879]], "final_energy_ev_per_atom": -3.995, "raw_formation_energy_kj_per_mol_fu": -2202}

No. 2
{"formula": "BaMg2As", "functional": "PBE", "state": "relaxed", "lattice_angstrom": [[3.169, -5.498, 0.000], [3.169, 5.498, 0.000], [0.000, 0.000, 3.448]], "species": ["Ba", "Mg", "Mg", "As"], "fractional_positions": [[0.000, 0.000, 0.000], [0.000, 0.500, 0.500], [0.500, 0.000, 0.500], [0.500, 0.500, 0.000]], "final_energy_ev_per_atom": -2.387, "delta_e_f_kj_per_mol_fu": 21}

No. 3
{"formula": "ScAs2Pt", "functional": "PBE", "state": "relaxed", "lattice_angstrom": [[-2.019, 2.649, 3.481], [2.019, -2.649, 3.481], [2.019, 2.649, -3.481]], "species": ["Sc", "As", "As", "Pt"], "fractional_positions": [[0.000, 0.000, 0.000], [0.282, 0.782, 0.500], [0.718, 0.218, 0.500], [0.500, 0.500, 0.000]], "final_energy_ev_per_atom": -5.929, "e_above_lowest_polymorph_kj_per_mol_fu": 74, "delta_e_f_kj_per_mol_fu": -197}